[1]
Below is a geometry-optimized ZrBe2NbTe structure, with properties calculated at the PBE level.

a b c (Å): 4.5186 4.5186 5.1204
angles (deg): 90.00 90.00 90.00
With the nearest neighbours (Å) after each atom.
Element x y z (fractional)
Zr1 0.5000 0.5000 0.5000  4 Nb 3.20, 8 Be 3.41
Nb1 0.0000 0.0000 0.5000  2 Te 2.56
Be1 0.0000 0.5000 0.0000  2 Te 2.26
Be2 0.5000 0.0000 0.0000  2 Te 2.26
Te1 0.0000 0.0000 0.0000  4 Be 2.26

Computed properties:
E_form (uncorrected) = 1.189 eV/atom
M_tot = 0.00 Bohr magnetons per cell
DOS(E_F) = 0.619 states/eV per atom
DFT total energy = -0.171 Ha/atom

---

[2]
Below is a geometry-optimized ThBe17Nb structure, with properties calculated at the PBE level.

a b c (Å): 5.7729 5.7729 5.7729
angles (deg): 82.80 82.80 82.80
With the nearest neighbours (Å) after each atom.
Element x y z (fractional)
Be1 0.0053 0.0053 0.4967  10 Be 2.14-2.39
Be2 0.0050 0.7159 0.2789  6 Be 2.09-2.29
Be3 0.2789 0.7159 0.0050  6 Be 2.09-2.29
Be4 0.0053 0.4967 0.0053  10 Be 2.14-2.39
Be5 0.0994 0.0994 0.0994  7 Be 2.11-2.31
Be6 0.7159 0.2789 0.0050  6 Be 2.09-2.29
Be7 0.9107 0.9107 0.9107  1 Be 2.11
Be8 0.2789 0.0050 0.7159  6 Be 2.09-2.29
Be9 0.3352 0.3352 0.8453  7 Be 2.16-2.31
Be10 0.0050 0.2789 0.7159  6 Be 2.09-2.29
Be11 0.4967 0.0053 0.0053  10 Be 2.14-2.39
Be12 0.6555 0.6555 0.1609  9 Be 2.22-2.43
Be13 0.6555 0.1609 0.6555  9 Be 2.22-2.43
Be14 0.3352 0.8453 0.3352  7 Be 2.16-2.31
Be15 0.7159 0.0050 0.2789  6 Be 2.09-2.29
Be16 0.8453 0.3352 0.3352  7 Be 2.16-2.31
Be17 0.1609 0.6555 0.6555  9 Be 2.22-2.43
Th1 0.6605 0.6605 0.6605  19 Be 2.79-2.98
Nb1 0.3349 0.3349 0.3349  19 Be 2.63-2.95

Computed properties:
M_tot = 0.00 Bohr magnetons per cell
DOS(E_F) = 0.128 states/eV per atom
DFT total energy = -0.160 Ha/atom
Energy of formation from the pure elements = -0.1025 eV per atom

---

[3]
Below is a geometry-optimized Ti2Be9Nb structure, with properties calculated at the PBE level.

a b c (Å): 4.4949 4.4949 7.4949
angles (deg): 72.55 72.55 60.00
With the nearest neighbours (Å) after each atom.
Element x y z (fractional)
Be1 0.3338 0.3338 0.9986  6 Be 2.14
Be2 0.9218 0.4181 0.2420  7 Be 2.14-2.26
Be3 0.5819 0.0782 0.7580  7 Be 2.14-2.26
Be4 0.6662 0.6662 0.0014  6 Be 2.14
Be5 0.5000 0.5000 0.5000  6 Be 2.24
Be6 0.4181 0.9218 0.2420  7 Be 2.14-2.26
Be7 0.4181 0.4181 0.2420  7 Be 2.14-2.26
Be8 0.5819 0.5819 0.7580  7 Be 2.14-2.26
Be9 0.0782 0.5819 0.7580  7 Be 2.14-2.26
Nb1 0.0000 0.0000 0.0000  18 Be 2.60-2.82
Ti1 0.8596 0.8596 0.4212  12 Be 2.58-2.70, 3 Ti 2.82
Ti2 0.1404 0.1404 0.5788  12 Be 2.58-2.70, 3 Ti 2.82

Computed properties:
M_tot = 1.45 Bohr magnetons per cell
DOS(E_F) = 0.381 states/eV per atom
DFT total energy = -0.191 Ha/atom
Energy of formation from the pure elements = -0.2353 eV per atom

---

[4]
Below is a geometry-optimized Ti2BeNb structure, with properties calculated at the PBE level.

a b c (Å): 2.9003 2.9003 8.8829
angles (deg): 80.60 80.60 60.00
With the nearest neighbours (Å) after each atom.
Element x y z (fractional)
Nb1 0.4999 0.4999 0.5003  6 Nb 2.90, 6 Ti 2.98-2.99
Ti1 0.2611 0.2611 0.2167  3 Be 2.53
Ti2 0.0722 0.0722 0.7833  3 Be 2.52
Be1 0.6668 0.6668 0.9996  6 Ti 2.52-2.53

Computed properties:
M_tot = 0.00 Bohr magnetons per cell
DOS(E_F) = 0.875 states/eV per atom
DFT total energy = -0.265 Ha/atom
Energy of formation from the pure elements = 0.1780 eV per atom

---

[5]
Below is a geometry-optimized Ti2BeNb structure, with properties calculated at the PBE level.

a b c (Å): 3.9597 3.9308 3.9308
angles (deg): 90.00 90.00 90.00
With the nearest neighbours (Å) after each atom.
Element x y z (fractional)
Ti1 0.0000 0.5000 0.0000  4 Ti 2.78, 4 Nb 2.79, 4 Be 2.79
Ti2 0.0000 0.0000 0.5000  4 Ti 2.78, 4 Nb 2.79, 4 Be 2.79
Nb1 0.5000 0.5000 0.5000  4 Be 2.78, 8 Ti 2.79
Be1 0.5000 0.0000 0.0000  4 Nb 2.78, 8 Ti 2.79

Computed properties:
M_tot = 0.00 Bohr magnetons per cell
DOS(E_F) = 0.664 states/eV per atom
DFT total energy = -0.273 Ha/atom
Energy of formation from the pure elements = -0.0233 eV per atom

---

[6]
Below is a geometry-optimized TiBe10Nb structure, with properties calculated at the PBE level.

a b c (Å): 3.3826 4.4059 7.6428
angles (deg): 90.00 90.00 90.00
With the nearest neighbours (Å) after each atom.
Element x y z (fractional)
Ti1 0.0000 0.0000 0.0000  18 Be 2.53-2.79
Be1 0.0000 0.0000 0.6688  6 Be 2.12-2.13
Be2 0.0000 0.0000 0.3312  6 Be 2.12-2.13
Be3 0.5000 0.5000 0.0000  8 Be 2.11-2.21
Be4 0.5000 0.2530 0.2515  8 Be 2.12-2.23
Be5 0.0000 0.5000 0.8350  6 Be 2.11-2.12
Be6 0.5000 0.7470 0.7485  8 Be 2.12-2.23
Be7 0.5000 0.7470 0.2515  8 Be 2.12-2.23
Be8 0.5000 0.0000 0.5000  8 Be 2.13-2.20
Be9 0.0000 0.5000 0.1650  6 Be 2.11-2.12
Be10 0.5000 0.2530 0.7485  8 Be 2.12-2.23
Nb1 0.0000 0.5000 0.5000  18 Be 2.55-2.78

Computed properties:
M_tot = 0.00 Bohr magnetons per cell
DOS(E_F) = 0.288 states/eV per atom
DFT total energy = -0.177 Ha/atom
Energy of formation from the pure elements = -0.2164 eV per atom

---

Question: Among the records above, which one has the lowest DFT total energy?
Answer: number 5